Record 1
Zr4Cu2S after structural relaxation. Source: Alexandria via LeMat-Bulk, functional PBE-GGA.

Its uncorrected formation energy is -0.522 eV per atom. The calculation puts the calculated density at 6.51 g/cm³.

It has space group C2/m (No. 12), with a = 11.280 Å, b = 3.623 Å, c = 7.938 Å, α = 90.00°, β = 124.48° and γ = 90.00°. The distinct sites, in fractional coordinates, are Zr at (0.090, 0.000, 0.378), Zr at (0.180, 0.500, 0.090), Cu at (0.119, 0.500, 0.666) and S at (0.000, 0.000, 0.000).

Record 2
ThSc5Ag4 after structural relaxation. Source: Alexandria via LeMat-Bulk, functional PBE-GGA.

The calculation puts the calculated density at 6.78 g/cm³. The value obtained for the formation energy is -0.219 eV/atom.

It has space group P4/mmm (No. 123), with a = 3.447 Å, b = 3.447 Å, c = 18.316 Å, α = 90.00°, β = 90.00° and γ = 90.00°. The distinct sites, in fractional coordinates, are Th at (0.000, 0.000, 0.000), Sc at (0.500, 0.500, 0.126), Sc at (0.500, 0.500, 0.312), Sc at (0.500, 0.500, 0.500), Ag at (0.000, 0.000, 0.220) and Ag at (0.000, 0.000, 0.407).

Record 3
CaPm2Pr5 after structural relaxation. Source: Alexandria via LeMat-Bulk, functional PBE-GGA.

The calculation puts the calculated density at 5.78 g/cm³. The value obtained for the formation energy is 0.232 eV/atom.

It has space group C2/c (No. 15), with a = 13.311 Å, b = 16.256 Å, c = 6.199 Å, α = 90.00°, β = 117.67° and γ = 90.00°. The distinct sites, in fractional coordinates, are Ca at (0.000, 0.153, 0.250), Pm at (0.000, 0.500, 0.000), Pm at (0.250, 0.250, 0.000), Pr at (0.000, 0.296, 0.750), Pr at (0.168, 0.054, 0.917) and Pr at (0.187, 0.355, 0.437).

Record 4
BaAl6Ge4 after structural relaxation. Source: Alexandria via LeMat-Bulk, functional PBE-GGA.

The calculation puts the calculated density at 4.09 g/cm³. The value obtained for the formation energy is -0.061 eV/atom.

It has space group I4/mmm (No. 139), with a = 4.153 Å, b = 4.153 Å, c = 27.786 Å, α = 90.00°, β = 90.00° and γ = 90.00°. The distinct sites, in fractional coordinates, are Ba at (0.000, 0.000, 0.000), Al at (0.000, 0.500, 0.123), Al at (0.000, 0.500, 0.250), Ge at (0.000, 0.000, 0.185) and Ge at (0.000, 0.000, 0.434).

Record 5
Ca2Ge5Pt3 after structural relaxation. Source: Alexandria via LeMat-Bulk, functional PBE-GGA.

The calculation puts the calculated density at 9.08 g/cm³. The value obtained for the formation energy is -0.694 eV/atom.

It has space group Cmc2_1 (No. 36), with a = 4.334 Å, b = 24.929 Å, c = 6.965 Å, α = 90.00°, β = 90.00° and γ = 90.00°. The distinct sites, in fractional coordinates, are Ca at (0.000, 0.020, 0.000), Ca at (0.000, 0.325, 0.014), Ge at (0.000, 0.101, 0.361), Ge at (0.000, 0.205, 0.815), Ge at (0.000, 0.207, 0.230), Ge at (0.000, 0.383, 0.477), Ge at (0.000, 0.452, 0.166), Pt at (0.000, 0.107, 0.730), Pt at (0.000, 0.279, 0.526) and Pt at (0.000, 0.445, 0.786).

Record 6
Y2Ti2Cr after structural relaxation. Source: Alexandria via LeMat-Bulk, functional PBE-GGA.

The calculation puts the calculated density at 4.98 g/cm³. The value obtained for the formation energy is 0.344 eV/atom.

It has space group P4/mbm (No. 127), with a = 6.487 Å, b = 6.487 Å, c = 5.160 Å, α = 90.00°, β = 90.00° and γ = 90.00°. The distinct sites, in fractional coordinates, are Y at (0.173, 0.327, 0.000), Ti at (0.151, 0.651, 0.500) and Cr at (0.000, 0.000, 0.500).